Li2AlBr | GGA-PBEsol | optimized geometry

Summary:
Formation energy from raw total energies, eV per atom: -0.36
Energy, eV per atom: -2.84

Unit cell a=3.2970 b=4.4807 c=5.6795 alpha=111.53 beta=90.00 gamma=90.00
Sites, in units of the cell vectors:
1 Al 0.5000 0.5000 0.0000
2 Li 0.0000 0.0000 0.0000
3 Li 0.5000 0.0000 0.5000
4 Br 0.0000 0.5000 0.5000


Li2AlBr | GGA-PBEsol | optimized geometry

Summary:
Formation energy from raw total energies, eV per atom: -0.34
Energy, eV per atom: -2.81

Unit cell a=3.5977 b=3.8612 c=6.0014 alpha=90.00 beta=90.00 gamma=90.00
Sites, in units of the cell vectors:
1 Br 0.0000 0.5000 0.5000
2 Li 0.0000 0.0000 0.0000
3 Li 0.5000 0.0000 0.5000
4 Al 0.5000 0.5000 0.0000